## 1
First-principles (GGA-PBE) data for a geometry-optimized Mg2MnMo structure, as listed in the Alexandria database.

**M_tot**: 3.60 μB per cell
**V**: 68.6 Å³ per cell
**Crystal system**: trigonal
**SG**: R-3m, No. 166
**Mass density**: 4.8 Mg/m³

Cell: 9.8182 9.8182 9.8182 Å, 16.76 16.76 16.76°
Last column: magnetic moment on the atom in μB.
Fractional coordinates of all 4 atoms:
Mg 0.0011 0.0011 0.0011  -0.01
Mg 0.4989 0.4989 0.4989  -0.01
Mn 0.7500 0.7500 0.7500  3.28
Mo 0.2500 0.2500 0.2500  0.21



## 2
First-principles (GGA-PBE) data for a geometry-optimized Mg2MnMo structure, as listed in the Alexandria database.

**M_tot**: 3.18 μB per cell
**V**: 68.0 Å³ per cell
**Crystal system**: orthorhombic
**SG**: Cmmm, No. 65
**Mass density**: 4.9 Mg/m³

Cell: 5.2579 5.2579 2.7452 Å, 90.00 90.00 116.39°
Last column: magnetic moment on the atom in μB.
Fractional coordinates of all 4 atoms:
Mg 0.0000 0.0000 0.0000  -0.02
Mg 0.5000 0.5000 0.0000  -0.02
Mn 0.5000 0.0000 0.5000  3.31
Mo 0.0000 0.5000 0.5000  -0.16



## 3
First-principles (GGA-PBE) data for a geometry-optimized Mg2MnMo structure, as listed in the Alexandria database.

**M_tot**: 3.60 μB per cell
**V**: 68.4 Å³ per cell
**Crystal system**: orthorhombic
**SG**: Cmmm, No. 65
**Mass density**: 4.8 Mg/m³

Cell: 2.7759 2.7759 8.9778 Å, 90.00 90.00 98.38°
Last column: magnetic moment on the atom in μB.
Fractional coordinates of all 4 atoms:
Mg 0.0000 0.0000 0.0014  -0.02
Mg 0.0000 0.0000 0.4986  -0.02
Mn 0.5000 0.5000 0.2500  3.49
Mo 0.5000 0.5000 0.7500  0.05



Stability, lowest: 1



## 1
First-principles (GGA-PBE) data for a geometry-optimized Mg2MnMo structure, as listed in the Alexandria database.

**M_tot**: 3.77 μB per cell
**V**: 68.4 Å³ per cell
**Crystal system**: tetragonal
**SG**: P4/mmm, No. 123
**Mass density**: 4.8 Mg/m³

Cell: 4.8308 4.8308 2.9315 Å, 90.00 90.00 90.00°
Last column: magnetic moment on the atom in μB.
Fractional coordinates of all 4 atoms:
Mg 0.0000 0.0000 0.0000  -0.02
Mg 0.5000 0.5000 0.0000  -0.02
Mn 0.5000 0.0000 0.5000  3.47
Mo 0.0000 0.5000 0.5000  0.17



## 2
First-principles (GGA-PBE) data for a geometry-optimized Mg2MnMo structure, as listed in the Alexandria database.

**M_tot**: 1.82 μB per cell
**V**: 67.1 Å³ per cell
**Crystal system**: monoclinic
**SG**: Pm, No. 6
**Mass density**: 4.9 Mg/m³

Cell: 4.2671 2.7915 5.7771 Å, 77.11 90.00 90.00°
Last column: magnetic moment on the atom in μB.
Fractional coordinates of all 4 atoms:
Mg 0.0000 0.9845 0.9862  -0.01
Mg 0.5000 0.2896 0.2632  -0.01
Mn 0.0000 0.5346 0.5308  2.31
Mo 0.5000 0.6912 0.7197  -0.47



Stability, lowest: 1



## 1
First-principles (GGA-PBE) data for a geometry-optimized MgMn2TlMo structure, as listed in the Alexandria database.

**M_tot**: 6.82 μB per cell
**V**: 103.7 Å³ per cell
**Crystal system**: tetragonal
**SG**: P4/mmm, No. 123
**Mass density**: 7.0 Mg/m³

Cell: 4.6497 4.7948 4.6497 Å, 90.00 90.00 90.00°
Last column: magnetic moment on the atom in μB.
Fractional coordinates of all 5 atoms:
Mg 0.0000 0.0000 0.0000  -0.03
Tl 0.5000 0.5000 0.5000  -0.02
Mn 0.0000 0.0000 0.5000  3.81
Mn 0.5000 0.0000 0.0000  3.61
Mo 0.0000 0.5000 0.0000  -0.70



## 2
First-principles (GGA-PBE) data for a geometry-optimized MgMn2TlMo structure, as listed in the Alexandria database.

**M_tot**: 1.98 μB per cell
**V**: 91.5 Å³ per cell
**Crystal system**: tetragonal
**SG**: P4/mmm, No. 123
**Mass density**: 7.9 Mg/m³

Cell: 4.3878 4.7520 4.3878 Å, 90.00 90.00 90.00°
Last column: magnetic moment on the atom in μB.
Fractional coordinates of all 5 atoms:
Mg 0.0000 0.0000 0.0000  -0.01
Tl 0.0000 0.5000 0.0000  -0.03
Mn 0.0000 0.0000 0.5000  0.22
Mn 0.5000 0.0000 0.0000  0.67
Mo 0.5000 0.5000 0.5000  1.06



Stability, lowest: 2



## 1
First-principles (GGA-PBE) data for a geometry-optimized Mg2MnN structure, as listed in the Alexandria database.

**M_tot**: 3.60 μB per cell
**V**: 125.9 Å³ per cell
**Crystal system**: tetragonal
**SG**: I-42d, No. 122
**Mass density**: 3.1 Mg/m³

Cell: 8.3312 8.3312 6.1641 Å, 47.48 47.48 90.00°
Last column: magnetic moment on the atom in μB.
Fractional coordinates of all 8 atoms:
Mg 0.4731 0.1250 0.2500  -0.01
Mg 0.2769 0.6250 0.2500  -0.01
Mg 0.3750 0.5269 0.7500  -0.01
Mg 0.8750 0.7231 0.7500  -0.01
Mn 0.0000 0.0000 0.0000  1.87
Mn 0.7500 0.2500 0.5000  1.88
N 0.5000 0.5000 0.0000  -0.06
N 0.2500 0.7500 0.5000  -0.06



## 2
First-principles (GGA-PBE) data for a geometry-optimized Mg2MnN structure, as listed in the Alexandria database.

**M_tot**: 4.00 μB per cell
**V**: 60.8 Å³ per cell
**Crystal system**: cubic
**SG**: Fm-3m, No. 225
**Mass density**: 3.2 Mg/m³

Cell: 4.4141 4.4141 4.4141 Å, 60.00 60.00 60.00°
Last column: magnetic moment on the atom in μB.
Fractional coordinates of all 4 atoms:
Mg 0.2500 0.2500 0.2500  -0.03
Mg 0.7500 0.7500 0.7500  -0.03
Mn 0.5000 0.5000 0.5000  3.62
N 0.0000 0.0000 0.0000  0.16



Stability, lowest: 2



## 1
First-principles (GGA-PBE) data for a geometry-optimized Mg3MnN structure, as listed in the Alexandria database.

**M_tot**: 5.59 μB per cell
**V**: 134.3 Å³ per cell
**Crystal system**: cubic
**SG**: Pm-3m, No. 221
**Mass density**: 1.8 Mg/m³

Cell: 5.1210 5.1210 5.1210 Å, 90.00 90.00 90.00°
Last column: magnetic moment on the atom in μB.
Fractional coordinates of all 5 atoms:
Mg 0.0000 0.5000 0.0000  -0.01
Mg 0.0000 0.0000 0.5000  -0.04
Mg 0.5000 0.0000 0.0000  0.01
Mn 0.0000 0.0000 0.0000  3.43
N 0.5000 0.5000 0.5000  1.45



## 2
First-principles (GGA-PBE) data for a geometry-optimized Mg3MnN structure, as listed in the Alexandria database.

**M_tot**: 4.00 μB per cell
**V**: 80.5 Å³ per cell
**Crystal system**: cubic
**SG**: Pm-3m, No. 221
**Mass density**: 2.9 Mg/m³

Cell: 4.3170 4.3170 4.3170 Å, 90.00 90.00 90.00°
Last column: magnetic moment on the atom in μB.
Fractional coordinates of all 5 atoms:
Mg 0.0000 0.5000 0.0000  -0.01
Mg 0.0000 0.0000 0.5000  -0.02
Mg 0.5000 0.0000 0.0000  -0.01
Mn 0.5000 0.5000 0.5000  3.84
N 0.0000 0.0000 0.0000  0.06



Stability, lowest: 1



## 1
First-principles (GGA-PBE) data for a geometry-optimized MgMnSN2 structure, as listed in the Alexandria database.

**M_tot**: 0.00 μB per cell
**V**: 66.1 Å³ per cell
**Crystal system**: tetragonal
**SG**: P4/mmm, No. 123
**Mass density**: 3.5 Mg/m³

Cell: 3.5871 3.5871 5.1334 Å, 90.00 90.00 90.00°
Fractional coordinates of all 5 atoms:
S 0.0000 0.0000 0.5000
Mn 0.0000 0.0000 0.0000
Mg 0.5000 0.5000 0.5000
N 0.0000 0.5000 0.0000
N 0.5000 0.0000 0.0000



## 2
First-principles (GGA-PBE) data for a geometry-optimized MgMnSN2 structure, as listed in the Alexandria database.

**M_tot**: 1.43 μB per cell
**V**: 79.4 Å³ per cell
**Crystal system**: tetragonal
**SG**: P4/mmm, No. 123
**Mass density**: 2.9 Mg/m³

Cell: 3.9668 3.9668 5.0460 Å, 90.00 90.00 90.00°
Last column: magnetic moment on the atom in μB.
Fractional coordinates of all 5 atoms:
S 0.0000 0.0000 0.5000  -0.18
Mn 0.5000 0.5000 0.5000  4.41
Mg 0.0000 0.0000 0.0000  0.01
N 0.0000 0.5000 0.0000  -1.05
N 0.5000 0.0000 0.0000  -1.05



Stability, lowest: 2



## 1
First-principles (GGA-PBE) data for a geometry-optimized MgMnSeN2 structure, as listed in the Alexandria database.

**M_tot**: 0.93 μB per cell
**V**: 76.9 Å³ per cell
**Crystal system**: tetragonal
**SG**: P4/mmm, No. 123
**Mass density**: 4.0 Mg/m³

Cell: 3.8581 3.8581 5.1673 Å, 90.00 90.00 90.00°
Last column: magnetic moment on the atom in μB.
Fractional coordinates of all 5 atoms:
Mg 0.0000 0.0000 0.0000  0.00
Mn 0.5000 0.5000 0.5000  0.34
Se 0.0000 0.0000 0.5000  0.01
N 0.0000 0.5000 0.0000  0.20
N 0.5000 0.0000 0.0000  0.20



## 2
First-principles (GGA-PBE) data for a geometry-optimized MgMnSeN2 structure, as listed in the Alexandria database.

**M_tot**: 0.00 μB per cell
**V**: 70.7 Å³ per cell
**Crystal system**: tetragonal
**SG**: P4/mmm, No. 123
**Mass density**: 4.4 Mg/m³

Cell: 3.6374 3.6374 5.3414 Å, 90.00 90.00 90.00°
Fractional coordinates of all 5 atoms:
Mg 0.5000 0.5000 0.5000
Mn 0.0000 0.0000 0.0000
Se 0.0000 0.0000 0.5000
N 0.0000 0.5000 0.0000
N 0.5000 0.0000 0.0000



Stability, lowest: 1



## 1
First-principles (GGA-PBE) data for a geometry-optimized NaMgMn3 structure, as listed in the Alexandria database.

**M_tot**: 11.64 μB per cell
**V**: 110.1 Å³ per cell
**Crystal system**: cubic
**SG**: Pm-3m, No. 221
**Mass density**: 3.2 Mg/m³

Cell: 4.7934 4.7934 4.7934 Å, 90.00 90.00 90.00°
Last column: magnetic moment on the atom in μB.
Fractional coordinates of all 5 atoms:
Na 0.0000 0.0000 0.0000  -0.02
Mg 0.5000 0.5000 0.5000  -0.05
Mn 0.0000 0.5000 0.0000  3.77
Mn 0.0000 0.0000 0.5000  3.78
Mn 0.5000 0.0000 0.0000  3.88



## 2
First-principles (GGA-PBE) data for a geometry-optimized NaMgMn3 structure, as listed in the Alexandria database.

**M_tot**: 12.38 μB per cell
**V**: 125.9 Å³ per cell
**Crystal system**: cubic
**SG**: Pm-3m, No. 221
**Mass density**: 2.8 Mg/m³

Cell: 5.0118 5.0118 5.0118 Å, 90.00 90.00 90.00°
Last column: magnetic moment on the atom in μB.
Fractional coordinates of all 5 atoms:
Na 0.5000 0.5000 0.5000  -0.02
Mg 0.0000 0.0000 0.0000  -0.06
Mn 0.0000 0.5000 0.0000  3.89
Mn 0.0000 0.0000 0.5000  3.98
Mn 0.5000 0.0000 0.0000  3.87



Stability, lowest: 1